Compound: CaCoN2F
Source: Alexandria via LeMat-Bulk
Functional: PBE+U
Structure: optimized geometry

Values from the calculation:
Its uncorrected energy is -4.35 eV per atom. For the relative energy among the computed polymorphs, the calculation gives 5.99 eV/f.u.

abc: 4.631 4.631 4.207
angles: 90.00 90.00 90.00
Element x y z (fractional)
Ca1 0.000 0.000 0.000
Co1 0.500 0.500 0.500
N1 0.000 0.500 0.000
N2 0.500 0.000 0.000
F1 0.000 0.000 0.500